(1)
Pm2CoC4 | PBE | optimized geometry

a = 6.806 Å, b = 6.806 Å, c = 6.806 Å
α = 113.24°, β = 84.15°, γ = 135.02°
Element x y z (fractional)
Pm 0.144 0.164 0.309
Pm 0.356 0.664 0.020
Pm 0.644 0.336 0.980
Pm 0.856 0.836 0.691
Co 0.250 0.750 0.500
Co 0.750 0.250 0.500
C 0.078 0.664 0.742
C 0.125 0.833 0.958
C 0.375 0.333 0.709
C 0.422 0.164 0.586
C 0.578 0.836 0.414
C 0.625 0.667 0.291
C 0.875 0.167 0.042
C 0.922 0.336 0.258

Crystal system: orthorhombic
SG: Ibam (72)

***

(2)
Pm4CoC2 | PBE | optimized geometry

a = 7.593 Å, b = 7.593 Å, c = 7.593 Å
α = 35.91°, β = 35.91°, γ = 35.91°
Element x y z (fractional)
Pm 0.113 0.113 0.113
Pm 0.290 0.290 0.290
Pm 0.710 0.710 0.710
Pm 0.887 0.887 0.887
Co 0.500 0.500 0.500
C 0.408 0.408 0.408
C 0.592 0.592 0.592

Crystal system: trigonal
SG: R-3m (166)

***

(3)
PmCo4C2 | PBE | optimized geometry

a = 3.504 Å, b = 13.172 Å, c = 3.486 Å
α = 90.00°, β = 90.00°, γ = 90.00°
Element x y z (fractional)
Pm 0.000 0.000 0.000
Pm 0.500 0.500 0.000
Co 0.000 0.179 0.500
Co 0.000 0.318 0.000
Co 0.000 0.682 0.000
Co 0.000 0.821 0.500
Co 0.500 0.182 0.000
Co 0.500 0.321 0.500
Co 0.500 0.679 0.500
Co 0.500 0.818 0.000
C 0.000 0.378 0.500
C 0.000 0.622 0.500
C 0.500 0.122 0.500
C 0.500 0.878 0.500

Crystal system: orthorhombic
SG: Cmmm (65)

***

(4)
Pm3Co4C | PBE | optimized geometry

a = 5.129 Å, b = 6.472 Å, c = 7.910 Å
α = 90.00°, β = 90.00°, γ = 90.00°
Element x y z (fractional)
Pm 0.000 0.000 0.000
Pm 0.000 0.240 0.636
Pm 0.000 0.760 0.636
Pm 0.500 0.260 0.136
Pm 0.500 0.500 0.500
Pm 0.500 0.740 0.136
Co 0.000 0.318 0.268
Co 0.000 0.682 0.268
Co 0.247 0.500 0.880
Co 0.253 0.000 0.380
Co 0.500 0.182 0.768
Co 0.500 0.818 0.768
Co 0.747 0.000 0.380
Co 0.753 0.500 0.880
C 0.000 0.500 0.068
C 0.500 0.000 0.568

Crystal system: orthorhombic
SG: Imm2 (44)

***

(5)
PmCoC | PBE | optimized geometry

a = 3.456 Å, b = 3.456 Å, c = 4.166 Å
α = 90.00°, β = 90.00°, γ = 120.00°
Element x y z (fractional)
Pm 0.000 0.000 0.000
Co 0.667 0.333 0.500
C 0.333 0.667 0.500

Offset from the most stable computed form, meV/atom: 236.0
Crystal system: hexagonal
SG: P-6m2 (187)

***

(6)
Pm2Co2C | PBE | optimized geometry

a = 6.714 Å, b = 6.714 Å, c = 5.313 Å
α = 108.94°, β = 108.94°, γ = 56.23°
Element x y z (fractional)
Pm 0.014 0.689 0.836
Pm 0.311 0.986 0.664
Pm 0.689 0.014 0.336
Pm 0.986 0.311 0.164
Co 0.295 0.538 0.381
Co 0.462 0.705 0.119
Co 0.538 0.295 0.881
Co 0.705 0.462 0.619
C 0.419 0.581 0.750
C 0.581 0.419 0.250

Crystal system: monoclinic
SG: C2/c (15)

***

(7)
PmCo3C | PBE | optimized geometry

a = 3.957 Å, b = 3.957 Å, c = 3.957 Å
α = 90.00°, β = 90.00°, γ = 90.00°
Element x y z (fractional)
Pm 0.000 0.000 0.000
Co 0.000 0.500 0.500
Co 0.500 0.000 0.500
Co 0.500 0.500 0.000
C 0.500 0.500 0.500

Offset from the most stable computed form, meV/atom: 0.0
Crystal system: cubic
SG: Pm-3m (221)

***

(8)
Pm2Co6C3 | PBE | optimized geometry

a = 6.809 Å, b = 6.809 Å, c = 3.606 Å
α = 90.00°, β = 90.00°, γ = 120.00°
Element x y z (fractional)
Pm 0.333 0.667 0.000
Pm 0.667 0.333 0.000
Co 0.000 0.221 0.000
Co 0.000 0.767 0.500
Co 0.221 0.000 0.000
Co 0.233 0.233 0.500
Co 0.767 0.000 0.500
Co 0.779 0.779 0.000
C 0.000 0.313 0.500
C 0.313 0.000 0.500
C 0.687 0.687 0.500

Crystal system: hexagonal
SG: P-62m (189)

***

(9)
Pm3Co5C2 | PBE | optimized geometry

a = 8.888 Å, b = 8.888 Å, c = 8.888 Å
α = 138.49°, β = 64.29°, γ = 133.24°
Element x y z (fractional)
Pm 0.180 0.654 0.834
Pm 0.250 0.250 0.000
Pm 0.320 0.154 0.474
Pm 0.680 0.846 0.526
Pm 0.750 0.750 0.000
Pm 0.820 0.346 0.166
Co 0.072 0.309 0.381
Co 0.077 0.250 0.827
Co 0.250 0.750 0.500
Co 0.423 0.250 0.173
Co 0.428 0.809 0.237
Co 0.572 0.191 0.763
Co 0.577 0.750 0.827
Co 0.750 0.250 0.500
Co 0.923 0.750 0.173
Co 0.928 0.691 0.619
C 0.149 0.073 0.222
C 0.351 0.573 0.924
C 0.649 0.427 0.076
C 0.851 0.927 0.778

Crystal system: orthorhombic
SG: Ibam (72)

***

(10)
Pm3CoC4 | PBE | optimized geometry

a = 16.387 Å, b = 3.700 Å, c = 4.220 Å
α = 90.00°, β = 98.51°, γ = 90.00°
Element x y z (fractional)
Pm 0.000 0.000 0.000
Pm 0.177 0.000 0.715
Pm 0.323 0.500 0.285
Pm 0.500 0.500 0.000
Pm 0.677 0.500 0.715
Pm 0.823 0.000 0.285
Co 0.000 0.500 0.500
Co 0.500 0.000 0.500
C 0.097 0.500 0.337
C 0.169 0.500 0.221
C 0.331 0.000 0.779
C 0.403 0.000 0.663
C 0.597 0.000 0.337
C 0.669 0.000 0.221
C 0.831 0.500 0.779
C 0.903 0.500 0.663

Crystal system: monoclinic
SG: C2/m (12)

***

(11)
Pm3CoC | PBE | optimized geometry

a = 8.571 Å, b = 6.314 Å, c = 8.980 Å
α = 90.00°, β = 113.15°, γ = 90.00°
Element x y z (fractional)
Pm 0.099 0.060 0.360
Pm 0.099 0.440 0.860
Pm 0.206 0.597 0.557
Pm 0.206 0.903 0.057
Pm 0.379 0.115 0.770
Pm 0.379 0.385 0.270
Pm 0.621 0.615 0.730
Pm 0.621 0.885 0.230
Pm 0.794 0.097 0.943
Pm 0.794 0.403 0.443
Pm 0.901 0.560 0.140
Pm 0.901 0.940 0.640
Co 0.429 0.640 0.924
Co 0.429 0.860 0.424
Co 0.571 0.140 0.576
Co 0.571 0.360 0.076
C 0.084 0.246 0.602
C 0.084 0.254 0.102
C 0.916 0.746 0.898
C 0.916 0.754 0.398

Crystal system: monoclinic
SG: P2_1/c (14)

***

(12)
Pm3CoC3 | PBE | optimized geometry

a = 6.798 Å, b = 6.798 Å, c = 5.280 Å
α = 90.00°, β = 90.00°, γ = 101.33°
Element x y z (fractional)
Pm 0.108 0.892 0.750
Pm 0.166 0.412 0.750
Pm 0.412 0.166 0.250
Pm 0.588 0.834 0.750
Pm 0.834 0.588 0.250
Pm 0.892 0.108 0.250
Co 0.299 0.701 0.250
Co 0.701 0.299 0.750
C 0.124 0.876 0.250
C 0.170 0.439 0.250
C 0.439 0.170 0.750
C 0.561 0.830 0.250
C 0.830 0.561 0.750
C 0.876 0.124 0.750

Crystal system: orthorhombic
SG: Cmcm (63)

***

So what do the calculations give for density? Going down the list: 6.69, 8.17, 8.36, 8.64, 8.32, 7.53, 8.95, 7.79, 7.48, 7.11, 7.52, 7.36 g cm⁻³.
So what do the calculations give for energy of formation? Going down the list: -196, 98, -48, 93, 22, -51, -37, 77, 55, -216, -16, -81 meV/atom.